[1]
4
Lattice="0.840 -1.700 4.965 -4.404 -2.959 -0.308 3.813 -0.556 -3.660" Properties=species:S:1:pos:R:3 comment="Ba2ReRh (PBE, optimized geometry)" sg="I-4m2, No. 119" ef_mev_per_atom=1088 de_polymorph_kcal_per_mol_atoms=16.12 pbc="T T T"
Ba 0.000 0.000 0.000
Ba -1.187 -2.922 -0.819
Re -1.782 -2.329 2.329
Rh 1.436 -2.292 1.817

[2]
4
Lattice="1.686 3.851 0.127 -1.686 3.851 0.127 0.000 0.901 8.951" Properties=species:S:1:pos:R:3 comment="Ba2ReRh (PBE, optimized geometry)" sg="C2/m, No. 12" ef_mev_per_atom=1183 de_polymorph_kcal_per_mol_atoms=18.31 pbc="T T T"
Ba 0.000 2.600 6.930
Ba 0.000 6.004 2.275
Re 0.000 0.451 4.475
Rh 0.000 3.851 0.127

[3]
6
Lattice="0.669 1.088 6.607 -4.091 -3.100 4.352 2.392 -4.866 3.986" Properties=species:S:1:pos:R:3 comment="Ba4ReRh (PBE, optimized geometry)" sg="F-43m, No. 216" ef_mev_per_atom=1538 pbc="T T T"
Ba -0.051 -2.034 8.909
Ba 0.811 -5.014 7.597
Ba -2.434 -4.130 7.780
Ba -0.386 -2.578 5.602
Re -0.773 -5.159 11.208
Rh 0.000 0.000 0.000

[4]
4
Lattice="-1.432 1.780 6.087 -4.856 -0.378 4.307 -1.353 -2.630 5.790" Properties=species:S:1:pos:R:3 comment="BaRe2Rh (PBE, optimized geometry)" sg="R-3m, No. 166" ef_mev_per_atom=479 de_polymorph_kcal_per_mol_atoms=0.00 pbc="T T T"
Ba 0.000 0.000 0.000
Re -1.423 -0.229 3.013
Re -6.218 -0.999 13.169
Rh -3.820 -0.614 8.091

[5]
4
Lattice="-0.875 2.683 1.780 -2.845 0.219 -1.730 -3.498 -4.573 5.172" Properties=species:S:1:pos:R:3 comment="BaRe2Rh (PBE, optimized geometry)" sg="P4/mmm, No. 123" ef_mev_per_atom=907 de_polymorph_kcal_per_mol_atoms=9.87 pbc="T T T"
Ba -3.609 -0.835 2.611
Re -2.952 -3.858 4.364
Re -0.546 -0.714 0.808
Rh -1.860 1.451 0.025

[6]
4
Lattice="5.113 0.000 0.000 0.000 5.113 0.000 0.000 0.000 2.907" Properties=species:S:1:pos:R:3 comment="BaRe2Rh (PBE, optimized geometry)" sg="P4/mmm, No. 123" ef_mev_per_atom=1680 de_polymorph_kcal_per_mol_atoms=27.71 pbc="T T T"
Ba 0.000 0.000 1.453
Re 2.557 0.000 0.000
Re 0.000 2.557 0.000
Rh 2.557 2.557 1.453

[7]
4
Lattice="9.845 -1.768 0.005 9.845 1.768 0.005 9.526 0.000 3.050" Properties=species:S:1:pos:R:3 comment="Ba2ReRh (PBE, optimized geometry)" sg="R-3m, No. 166" ef_mev_per_atom=1174 de_polymorph_kcal_per_mol_atoms=18.09 pbc="T T T"
Ba 21.791 0.000 2.282
Ba 7.425 0.000 0.778
Re 14.608 0.000 1.530
Rh 0.000 0.000 0.000

[8]
4
Lattice="0.426 5.407 -1.551 -5.379 -0.179 1.691 0.996 0.857 3.261" Properties=species:S:1:pos:R:3 comment="Ba2ReRh (PBE, optimized geometry)" sg="Cmmm, No. 65" ef_mev_per_atom=1046 de_polymorph_kcal_per_mol_atoms=15.15 pbc="T T T"
Ba 0.213 2.704 -0.775
Ba -2.689 -0.090 0.845
Re 0.498 0.428 1.630
Rh -1.979 3.042 1.700

[9]
5
Lattice="3.584 0.000 0.000 0.000 3.584 0.000 1.792 1.792 10.186" Properties=species:S:1:pos:R:3 comment="Ba2Re2Rh (PBE, optimized geometry)" sg="I4/mmm, No. 139" ef_mev_per_atom=577 de_polymorph_kcal_per_mol_atoms=0.00 pbc="T T T"
Re 3.584 1.792 5.093
Re 1.792 3.584 5.093
Rh 0.000 0.000 0.000
Ba 1.792 1.792 1.991
Ba 3.584 3.584 8.195

[10]
4
Lattice="-0.151 -0.429 -3.484 3.373 -2.557 0.169 -4.496 -5.870 0.917" Properties=species:S:1:pos:R:3 comment="Ba2ReRh (PBE, optimized geometry)" sg="Pmmm, No. 47" ef_mev_per_atom=1041 de_polymorph_kcal_per_mol_atoms=15.03 pbc="T T T"
Ba -3.322 -4.337 0.677
Ba -1.174 -1.533 0.239
Re 1.611 -1.493 -1.658
Rh -0.637 -4.428 -1.200

[11]
5
Lattice="-0.091 -4.727 3.735 4.815 -0.880 -0.996 1.601 3.582 4.572" Properties=species:S:1:pos:R:3 comment="Ba2ReTeRh (PBE, optimized geometry)" e_form_raw_mev_per_atom=622 sg="P4/mmm, No. 123" pbc="T T T"
Re 3.162 -1.012 3.656
Te 2.407 -0.440 -0.498
Rh 0.000 0.000 0.000
Ba 0.800 1.791 2.286
Ba -0.046 -2.363 1.868

[12]
5
Lattice="4.896 0.000 0.000 0.000 5.310 0.000 0.000 0.000 4.896" Properties=species:S:1:pos:R:3 comment="BaTlReRh2 (PBE, optimized geometry)" sg="P4/mmm, No. 123" ef_mev_per_atom=490 pbc="T T T"
Re 0.000 0.000 0.000
Tl 0.000 2.655 0.000
Rh 0.000 0.000 2.448
Rh 2.448 0.000 0.000
Ba 2.448 2.655 2.448

[13]
5
Lattice="-1.722 -4.307 2.728 2.720 1.329 3.814 -4.118 2.873 1.936" Properties=species:S:1:pos:R:3 comment="BaTl2ReRh (PBE, optimized geometry)" sg="P4/mmm, No. 123" ef_mev_per_atom=380 pbc="T T T"
Re 0.000 0.000 0.000
Tl -2.059 1.436 0.968
Tl -0.861 -2.154 1.364
Rh 1.360 0.664 1.907
Ba -1.560 -0.053 4.239

[14]
5
Lattice="-0.592 -4.829 0.141 4.834 -0.574 0.637 -0.610 0.216 4.824" Properties=species:S:1:pos:R:3 comment="BaRe2RhW (PBE, optimized geometry)" sg="P4/mmm, No. 123" ef_mev_per_atom=4000 pbc="T T T"
Re -0.305 0.108 2.412
Re -0.296 -2.414 0.071
Rh 1.816 -2.594 2.801
Ba 0.000 0.000 0.000
W 2.417 -0.287 0.318

[15]
5
Lattice="-3.133 -2.179 -2.875 -2.182 -2.597 4.347 -3.072 3.608 0.613" Properties=species:S:1:pos:R:3 comment="BaReRhW2 (PBE, optimized geometry)" sg="P4/mmm, No. 123" ef_mev_per_atom=2385 pbc="T T T"
Re -4.194 -0.585 1.043
Rh 0.000 0.000 0.000
Ba -1.091 -1.299 2.174
W -1.536 1.804 0.307
W -1.566 -1.090 -1.437

[16]
4
Lattice="3.917 -1.818 1.919 0.888 0.626 4.599 -0.306 -3.652 2.984" Properties=species:S:1:pos:R:3 comment="BaReRu2 (PBE, optimized geometry)" sg="Fm-3m, No. 225" ef_mev_per_atom=1221 de_polymorph_kcal_per_mol_atoms=18.39 pbc="T T T"
Re 2.250 -2.422 4.751
Ba 0.000 0.000 0.000
Ru 1.125 -1.211 2.376
Ru 3.374 -3.633 7.127

[17]
3
Lattice="4.640 0.000 0.000 2.320 4.018 0.000 2.320 1.339 3.788" Properties=species:S:1:pos:R:3 comment="BaReRu (PBE, optimized geometry)" sg="F-43m, No. 216" ef_mev_per_atom=1500 de_polymorph_kcal_per_mol_atoms=21.83 pbc="T T T"
Ba 4.640 2.679 1.894
Re 2.320 1.339 0.947
Ru 0.000 0.000 0.000

[18]
4
Lattice="2.986 0.000 0.000 0.000 4.994 0.000 0.000 0.000 4.994" Properties=species:S:1:pos:R:3 comment="BaReRu2 (PBE, optimized geometry)" sg="P4/mmm, No. 123" ef_mev_per_atom=1251 de_polymorph_kcal_per_mol_atoms=19.08 pbc="T T T"
Ba 1.493 2.497 0.000
Re 1.493 0.000 2.497
Ru 0.000 0.000 0.000
Ru 0.000 2.497 2.497

[19]
4
Lattice="3.127 0.000 0.000 0.000 3.134 0.000 0.000 0.000 8.035" Properties=species:S:1:pos:R:3 comment="BaReRu2 (PBE, optimized geometry)" sg="P4/mmm, No. 123" ef_mev_per_atom=557 de_polymorph_kcal_per_mol_atoms=3.09 pbc="T T T"
Ba 1.563 1.567 2.009
Re 1.563 1.567 6.026
Ru 0.000 0.000 7.455
Ru 0.000 0.000 4.597

[20]
5
Lattice="-0.334 -4.243 -2.257 4.083 0.943 -2.377 2.536 -2.077 3.531" Properties=species:S:1:pos:R:3 comment="BaReRu3 (PBE, optimized geometry)" sg="Pm-3m, No. 221" ef_mev_per_atom=3412 de_polymorph_kcal_per_mol_atoms=56.47 pbc="T T T"
Re 3.142 -2.689 -0.551
Ba 0.000 0.000 0.000
Ru 2.041 0.471 -1.189
Ru 1.268 -1.039 1.765
Ru -0.167 -2.122 -1.128

[21]
3
Lattice="-3.928 -1.158 -0.566 3.044 -1.981 -1.975 0.423 -3.440 4.103" Properties=species:S:1:pos:R:3 comment="BaReRu (PBE, optimized geometry)" sg="P3m1, No. 156" ef_mev_per_atom=554 de_polymorph_kcal_per_mol_atoms=0.00 pbc="T T T"
Ba 0.422 -3.439 4.101
Re -1.405 -3.050 0.894
Ru 0.944 -3.531 0.671

[22]
4
Lattice="-0.581 -2.471 3.525 -1.237 -4.142 -0.430 5.109 -3.889 0.796" Properties=species:S:1:pos:R:3 comment="BaReRu2 (PBE, optimized geometry)" sg="R-3m, No. 166" ef_mev_per_atom=423 de_polymorph_kcal_per_mol_atoms=0.00 pbc="T T T"
Ba 2.468 -7.876 2.918
Re 0.823 -2.625 0.973
Ru -0.823 -6.907 3.054
Ru 0.650 -4.957 1.986

[23]
4
Lattice="-1.834 -1.582 1.735 3.709 0.044 3.961 -1.843 3.981 1.681" Properties=species:S:1:pos:R:3 comment="BaReRu2 (PBE, optimized geometry)" sg="Pmmm, No. 47" ef_mev_per_atom=1461 de_polymorph_kcal_per_mol_atoms=23.94 pbc="T T T"
Ba -1.839 1.199 1.708
Re 0.933 2.012 2.821
Ru 0.000 0.000 0.000
Ru 0.937 -0.769 2.848

[24]
4
Lattice="-4.979 -0.670 -2.736 -3.079 -3.955 2.757 2.374 5.199 0.260" Properties=species:S:1:pos:R:3 comment="BaReRu2 (PBE, optimized geometry)" sg="Immm, No. 71" ef_mev_per_atom=958 de_polymorph_kcal_per_mol_atoms=12.34 pbc="T T T"
Ba -2.368 -0.535 1.513
Re -3.318 1.108 -1.233
Ru -7.563 -4.340 0.020
Ru -4.526 -2.597 0.012

[25]
8
Lattice="7.486 0.000 0.000 0.000 7.486 0.000 3.743 3.743 3.328" Properties=species:S:1:pos:R:3 comment="BaReRu2 (PBE, optimized geometry)" sg="I-42d, No. 122" ef_mev_per_atom=911 de_polymorph_kcal_per_mol_atoms=11.24 pbc="T T T"
Re 0.000 0.000 0.000
Re 7.486 3.743 1.664
Ba 3.743 3.743 0.000
Ba 3.743 7.486 1.664
Ru 6.227 1.872 0.832
Ru 1.259 5.615 0.832
Ru 5.615 5.002 2.496
Ru 9.358 9.970 2.496

[26]
6
Lattice="0.000 3.750 3.750 3.750 0.000 3.750 3.750 3.750 0.000" Properties=species:S:1:pos:R:3 comment="BaReRu4 (PBE, optimized geometry)" sg="F-43m, No. 216" ef_mev_per_atom=970 pbc="T T T"
Ba 5.625 5.625 5.625
Re 0.000 0.000 0.000
Ru 2.806 4.694 4.694
Ru 4.694 4.694 2.806
Ru 4.694 2.806 4.694
Ru 2.806 2.806 2.806

[27]
6
Lattice="0.000 4.736 4.736 4.736 0.000 4.736 4.736 4.736 0.000" Properties=species:S:1:pos:R:3 comment="Ba4ReRu (PBE, optimized geometry)" sg="F-43m, No. 216" ef_mev_per_atom=1769 pbc="T T T"
Ba 3.552 5.920 5.920
Ba 5.920 5.920 3.552
Ba 5.920 3.552 5.920
Ba 3.552 3.552 3.552
Re 7.105 7.105 7.105
Ru 0.000 0.000 0.000

[28]
3
Lattice="4.673 0.000 0.000 2.336 4.047 0.000 2.336 1.349 3.815" Properties=species:S:1:pos:R:3 comment="BaReRu (PBE, optimized geometry)" sg="F-43m, No. 216" ef_mev_per_atom=2605 de_polymorph_kcal_per_mol_atoms=47.31 pbc="T T T"
Ba 2.336 1.349 0.954
Re 0.000 0.000 0.000
Ru 4.673 2.698 1.908

[29]
4
Lattice="-4.293 -1.826 -0.649 1.380 -4.000 2.070 0.501 4.112 2.243" Properties=species:S:1:pos:R:3 comment="BaReRu2 (PBE, optimized geometry)" sg="F-43m, No. 216" ef_mev_per_atom=1363 de_polymorph_kcal_per_mol_atoms=21.66 pbc="T T T"
Ba -1.457 -2.913 0.711
Re -2.625 -0.314 1.153
Ru 0.000 0.000 0.000
Ru 0.212 -1.400 2.512

[30]
3
Lattice="-6.435 -1.861 -1.656 -5.791 -3.631 0.943 -1.823 1.951 1.780" Properties=species:S:1:pos:R:3 comment="BaReRu (PBE, optimized geometry)" sg="I4mm, No. 107" ef_mev_per_atom=647 de_polymorph_kcal_per_mol_atoms=2.16 pbc="T T T"
Ba -12.214 -5.484 -0.710
Re -4.880 -0.237 1.048
Ru -9.180 -3.313 0.017

Total magnetic moment for the records above, in order: 3.60, 2.74, 2.77, 0.00, 0.69, 0.00, 1.44, 2.40, 0.00, 2.63, 3.86, 0.00, 0.00, 0.01, 2.13, 0.76, 0.00, 0.40, 0.00, 0.00, 0.00, 0.00, 0.00, 0.00, 0.00, 0.00, 3.66, 2.24, 1.61, 0.00 Bohr magnetons per cell
DFT total energy for the records above, in order: -4.8230, -4.7280, -3.0436, -8.0639, -7.6361, -6.8621, -4.7374, -4.8651, -6.6414, -4.8702, -4.7357, -5.7983, -4.9114, -5.4248, -7.1403, -7.0100, -6.3819, -6.9801, -7.6737, -5.0277, -7.3285, -7.8075, -6.7693, -7.2726, -7.3200, -7.6090, -3.1331, -5.2768, -6.8681, -7.2351 eV per atom
DOS at the Fermi energy for the records above, in order: 1.20, 0.99, 1.53, 0.22, 1.39, 1.40, 0.87, 0.99, 0.77, 1.16, 0.87, 0.82, 0.53, 1.38, 1.60, 1.32, 1.24, 1.72, 1.11, 3.64, 1.49, 0.89, 1.59, 0.90, 1.37, 1.55, 1.49, 1.63, 0.87, 0.79 states/eV per atom